The following is a DFT calculation (GGA-PBE) of ZrTaSeN2 after structural relaxation.

Its energy above the most stable polymorph in this dataset is 0.00 eV/f.u. The calculation puts the magnetic moment at 0.3 μB/f.u. For the calculated volume, the calculation gives 82.6 Å³ per cell. The formation energy without anion corrections comes out at -0.16 eV per atom.

The space group is P4/mmm (No. 123) and the conventional cell measures 4.024, 4.024 and 5.101 Å, with angles of 90.00, 90.00 and 90.00 degrees. The distinct sites, in fractional coordinates, are Zr at (0.000, 0.000, 0.000), Ta at (0.500, 0.500, 0.500), Se at (0.500, 0.500, 0.000) and N at (0.000, 0.500, 0.500).

=====

The following is a DFT calculation (GGA-PBE) of Tb3SeN2 after structural relaxation.

The calculation puts the magnetic moment at 0.3 μB/f.u. For the calculated volume, the calculation gives 470.8 Å³ per cell. The formation energy without anion corrections comes out at -1.52 eV per atom.

The space group is Cmcm (No. 63) and the conventional cell measures 3.768, 12.830 and 9.739 Å, with angles of 90.00, 90.00 and 90.00 degrees. The distinct sites, in fractional coordinates, are Tb at (0.000, 0.061, 0.250), Tb at (0.000, 0.381, 0.064), Se at (0.000, 0.257, 0.750), N at (0.000, 0.000, 0.000) and N at (0.000, 0.469, 0.250).

=====

The following is a DFT calculation (GGA-PBE) of TbSeN after structural relaxation.

Its energy above the most stable polymorph in this dataset is 0.00 eV/f.u. The calculation puts the magnetic moment at 0.0 μB/f.u. For the calculated volume, the calculation gives 276.8 Å³ per cell. The formation energy without anion corrections comes out at -1.19 eV per atom.

The space group is P2_1/c (No. 14) and the conventional cell measures 8.580, 4.037 and 8.224 Å, with angles of 90.00, 103.68 and 90.00 degrees. The distinct sites, in fractional coordinates, are Tb at (0.166, 0.244, 0.417), Se at (0.183, 0.750, 0.171) and N at (0.440, 0.070, 0.485).

=====

The following is a DFT calculation (GGA-PBE) of Tb3Se2N after structural relaxation.

Its energy above the most stable polymorph in this dataset is 0.00 eV/f.u. The calculation puts the magnetic moment at 0.0 μB/f.u. For the calculated volume, the calculation gives 259.1 Å³ per cell. The formation energy without anion corrections comes out at -1.65 eV per atom.

The space group is I4/mmm (No. 139) and the conventional cell measures 3.914, 3.914 and 16.914 Å, with angles of 90.00, 90.00 and 90.00 degrees. The distinct sites, in fractional coordinates, are Tb at (0.000, 0.000, 0.000), Tb at (0.000, 0.000, 0.364), Se at (0.000, 0.000, 0.172) and N at (0.000, 0.000, 0.500).

=====

The following is a DFT calculation (GGA-PBE) of Tb5Se5N2 after structural relaxation.

The calculation puts the magnetic moment at 0.0 μB/f.u. For the calculated volume, the calculation gives 536.4 Å³ per cell. The formation energy without anion corrections comes out at -1.67 eV per atom.

The space group is C2/m (No. 12) and the conventional cell measures 13.122, 3.880 and 10.896 Å, with angles of 90.00, 104.76 and 90.00 degrees. The distinct sites, in fractional coordinates, are Tb at (0.000, 0.000, 0.000), Tb at (0.094, 0.000, 0.365), Tb at (0.147, 0.500, 0.797), Se at (0.000, 0.500, 0.500), Se at (0.164, 0.500, 0.072), Se at (0.246, 0.000, 0.633) and N at (0.045, 0.000, 0.800).

=====

The following is a DFT calculation (GGA-PBE) of Tb4Se3N after structural relaxation.

Its energy above the most stable polymorph in this dataset is 1.26 eV/f.u. The calculation puts the magnetic moment at 0.0 μB/f.u. For the calculated volume, the calculation gives 417.8 Å³ per cell. The formation energy without anion corrections comes out at -1.54 eV per atom.

The space group is Pmn2_1 (No. 31) and the conventional cell measures 9.728, 7.618 and 5.638 Å, with angles of 90.00, 90.00 and 90.00 degrees. The distinct sites, in fractional coordinates, are Tb at (0.000, 0.139, 0.000), Tb at (0.000, 0.854, 0.484), Tb at (0.214, 0.257, 0.476), Se at (0.000, 0.766, 0.989), Se at (0.240, 0.351, 0.978) and N at (0.000, 0.149, 0.428).

=====

The following is a DFT calculation (GGA-PBE) of Tb2SeN after structural relaxation.

Its energy above the most stable polymorph in this dataset is 0.00 eV/f.u. The calculation puts the magnetic moment at 0.0 μB/f.u. For the calculated volume, the calculation gives 155.1 Å³ per cell. The formation energy without anion corrections comes out at -1.71 eV per atom.

The space group is P6_3/mmc (No. 194) and the conventional cell measures 3.6849, 3.6849 and 13.1922 Å, with angles of 90.00, 90.00 and 120.00 degrees. The distinct sites, in fractional coordinates, are Tb at (0.3333, 0.6667, 0.0990), Se at (0.3333, 0.6667, 0.7500) and N at (0.0000, 0.0000, 0.0000).

=====

The following is a DFT calculation (GGA-PBE) of Tb2SeN after structural relaxation.

Its energy above the most stable polymorph in this dataset is 0.36 eV/f.u. The calculation puts the magnetic moment at 0.0 μB/f.u. For the calculated volume, the calculation gives 161.1 Å³ per cell. The formation energy without anion corrections comes out at -1.62 eV per atom.

The space group is P4/nmm (No. 129, origin choice 2) and the conventional cell measures 3.832, 3.832 and 10.970 Å, with angles of 90.00, 90.00 and 90.00 degrees. The distinct sites, in fractional coordinates, are Tb at (0.250, 0.250, 0.101), Tb at (0.250, 0.250, 0.683), Se at (0.250, 0.250, 0.378) and N at (0.250, 0.250, 0.891).

=====

The following is a DFT calculation (GGA-PBE) of TbSeN after structural relaxation.

Its energy above the most stable polymorph in this dataset is 0.95 eV/f.u. The calculation puts the magnetic moment at 0.0 μB/f.u. For the calculated volume, the calculation gives 232.9 Å³ per cell. The formation energy without anion corrections comes out at -0.87 eV per atom.

The space group is Pnma (No. 62) and the conventional cell measures 18.952, 3.529 and 3.483 Å, with angles of 90.00, 90.00 and 90.00 degrees. The distinct sites, in fractional coordinates, are Tb at (0.186, 0.250, 0.241), Se at (0.019, 0.250, 0.750) and N at (0.195, 0.750, 0.741).

=====

The following is a DFT calculation (GGA-PBE) of Tb2SeN after structural relaxation.

Its energy above the most stable polymorph in this dataset is 0.00 eV/f.u. The calculation puts the magnetic moment at 0.0 μB/f.u. For the calculated volume, the calculation gives 231.7 Å³ per cell. The formation energy without anion corrections comes out at -1.71 eV per atom.

The space group is R-3m (No. 166, hexagonal axes) and the conventional cell measures 3.6901, 3.6901 and 19.6492 Å, with angles of 90.00, 90.00 and 120.00 degrees. The distinct sites, in fractional coordinates, are Tb at (0.0000, 0.0000, 0.2331), Se at (0.0000, 0.0000, 0.0000) and N at (0.0000, 0.0000, 0.5000).

=====

The following is a DFT calculation (GGA-PBE) of Tb4Se2N after structural relaxation.

The calculation puts the magnetic moment at 0.0 μB/f.u. For the calculated volume, the calculation gives 320.2 Å³ per cell. The formation energy without anion corrections comes out at -1.13 eV per atom.

The space group is I4/mmm (No. 139) and the conventional cell measures 4.618, 4.618 and 15.016 Å, with angles of 90.00, 90.00 and 90.00 degrees. The distinct sites, in fractional coordinates, are Tb at (0.000, 0.000, 0.171), Tb at (0.000, 0.500, 0.000), Se at (0.000, 0.000, 0.365) and N at (0.000, 0.000, 0.000).

=====

The following is a DFT calculation (GGA-PBE) of Tb2SeN after structural relaxation.

Its energy above the most stable polymorph in this dataset is 0.15 eV/f.u. The calculation puts the magnetic moment at 0.0 μB/f.u. For the calculated volume, the calculation gives 233.1 Å³ per cell. The formation energy without anion corrections comes out at -1.67 eV per atom.

The space group is R3m (No. 160, hexagonal axes) and the conventional cell measures 3.6693, 3.6693 and 19.9939 Å, with angles of 90.00, 90.00 and 120.00 degrees. The distinct sites, in fractional coordinates, are Tb at (0.0000, 0.0000, 0.0000), Tb at (0.0000, 0.0000, 0.2015), Se at (0.0000, 0.0000, 0.4343) and N at (0.0000, 0.0000, 0.6046).